First-principles (PBE-GGA) data for a geometry-optimized Tm8Te4AsPt3 structure, as listed in Alexandria via LeMat-Bulk.

a = 8.2764 Å, b = 8.5866 Å, c = 8.2766 Å
α = 118.81°, β = 120.00°, γ = 90.00°
Last column: nearest neighbours and their distance in Å.
Fractional positions:
Tm 0.2413 0.7133 0.9720  2 Pt 2.81, 1 As 2.88, 1 Te 3.11
Tm 0.2413 0.7133 0.4826  2 Pt 2.81, 1 As 2.88, 1 Te 3.11
Tm 0.2643 0.2930 0.5286  3 Pt 2.81
Tm 0.7307 0.7133 0.9720  2 Pt 2.81, 1 As 2.88, 1 Te 3.11
Tm 0.2693 0.2867 0.0280  2 Pt 2.81, 1 As 2.88, 1 Te 3.11
Tm 0.7357 0.7070 0.4714  3 Pt 2.81
Tm 0.7587 0.2867 0.5174  2 Pt 2.81, 1 As 2.88, 1 Te 3.11
Tm 0.7587 0.2867 0.0280  2 Pt 2.81, 1 As 2.88, 1 Te 3.11
Te 0.5000 0.0000 0.0000  6 Tm 3.11
Te 0.5000 0.0000 0.5000  6 Tm 3.16-3.17
Te 0.0000 0.0000 0.0000  6 Tm 3.16-3.17
Te 0.0000 0.0000 0.5000  6 Tm 3.16-3.17
As 0.0000 0.5000 0.0000  6 Tm 2.88
Pt 0.5000 0.5000 0.0000  6 Tm 2.81
Pt 0.5000 0.5000 0.5000  6 Tm 2.81
Pt 0.0000 0.5000 0.5000  6 Tm 2.81

## Properties
Symmetry = R-3m
Formation energy (no corrections) = -1.28 eV per atom
Crystal system = trigonal

---

First-principles (PBE-GGA) data for a geometry-optimized TiSbAu2 structure, as listed in Alexandria via LeMat-Bulk.

a = 4.5713 Å, b = 4.0763 Å, c = 4.0763 Å
α = 90.00°, β = 90.00°, γ = 90.00°
Last column: nearest neighbours and their distance in Å.
Fractional positions:
Sb 0.5000 0.0000 0.0000  4 Ti 2.88, 8 Au 3.06
Au 0.0000 0.0000 0.5000  4 Au 2.88, 4 Sb 3.06, 4 Ti 3.06
Au 0.0000 0.5000 0.0000  4 Au 2.88, 4 Sb 3.06, 4 Ti 3.06
Ti 0.5000 0.5000 0.5000  4 Sb 2.88, 8 Au 3.06

## Properties
Symmetry = P4/mmm
Formation energy (no corrections) = -0.21 eV per atom
Crystal system = tetragonal

---

| no. | magnetic moment (μB/atom) |
| --- | --- |
| 1 | 0.00 |
| 2 | 0.00 |